! PBE TaNbCoSi, relaxed; values from VASP
! - Calculated total energy: -34.41 eV per cell
! - SG: F-43m (216)
! - Distance to the lowest polymorph of the same formula: 0 meV/atom
! - Density: 10.15 g/cm³
&SYSTEM
  ibrav = 0, nat = 4, ntyp = 4
/
ATOMIC_SPECIES
Ta 180.95 Ta.upf
Nb 92.91 Nb.upf
Co 58.93 Co.upf
Si 28.09 Si.upf
ATOMIC_POSITIONS angstrom
Ta 0.000 0.000 0.000
Nb 1.545 1.545 1.545
Co 4.636 4.636 4.636
Si 3.091 3.091 3.091
CELL_PARAMETERS angstrom
0.000 3.091 3.091
3.091 0.000 3.091
3.091 3.091 0.000



! PBE RbGaNi, relaxed; values from VASP
! - Calculated total energy: -7.59 eV per cell
! - SG: F-43m (216)
! - Distance to the lowest polymorph of the same formula: 0 meV/atom
! - Density: 4.44 g/cm³
&SYSTEM
  ibrav = 0, nat = 3, ntyp = 3
/
ATOMIC_SPECIES
Rb 85.47 Rb.upf
Ga 69.72 Ga.upf
Ni 58.69 Ni.upf
ATOMIC_POSITIONS angstrom
Rb 0.000 0.000 0.000
Ga 3.421 3.421 3.421
Ni 5.131 5.131 5.131
CELL_PARAMETERS angstrom
0.000 3.421 3.421
3.421 0.000 3.421
3.421 3.421 0.000



! PBE Cs2Li3ZrO4, relaxed; values from VASP
! - Calculated total energy: -108.86 eV per cell
! - SG: Ibam (72)
! - Density: 4.32 g/cm³
&SYSTEM
  ibrav = 0, nat = 20, ntyp = 4
/
ATOMIC_SPECIES
Cs 132.91 Cs.upf
Li 6.94 Li.upf
Zr 91.22 Zr.upf
O 16.00 O.upf
ATOMIC_POSITIONS angstrom
Cs 1.023 1.508 0.000
Cs 1.023 -1.508 5.853
Cs 1.690 6.860 0.000
Cs 1.690 3.844 5.853
Li 2.713 2.794 -2.926
Li 0.000 0.000 2.926
Li 0.000 2.558 2.926
Li 2.713 2.794 2.926
Li 0.000 0.000 8.779
Li 0.000 2.558 8.779
Zr 2.713 0.000 2.926
Zr 0.000 5.352 2.926
O 1.347 -1.339 2.200
O 1.366 4.013 -2.200
O 4.079 1.339 2.200
O 1.347 1.339 3.653
O 1.366 4.013 2.200
O -1.366 4.013 3.653
O 1.347 1.339 8.053
O 1.366 6.692 3.653
CELL_PARAMETERS angstrom
-2.713 5.352 5.853
2.713 -5.352 5.853
2.713 5.352 -5.853



! PBE CuBiPF, relaxed; values from VASP
! - Calculated total energy: -33.66 eV per cell
! - SG: P4/nmm (129)
! - Distance to the lowest polymorph of the same formula: 281 meV/atom
! - Density: 8.23 g/cm³
&SYSTEM
  ibrav = 0, nat = 8, ntyp = 4
/
ATOMIC_SPECIES
Cu 63.55 Cu.upf
Bi 208.98 Bi.upf
P 30.97 P.upf
F 19.00 F.upf
ATOMIC_POSITIONS angstrom
Cu 0.883 0.883 1.880
Cu 2.648 2.648 8.565
Bi 0.883 0.883 7.025
Bi 2.648 2.648 3.420
P 0.883 0.883 10.037
P 2.648 2.648 0.407
F 0.883 2.648 5.222
F 2.648 0.883 5.222
CELL_PARAMETERS angstrom
3.530 0.000 0.000
0.000 3.530 0.000
0.000 0.000 10.445



! PBE MgCdSn2P4, relaxed; values from VASP
! - Calculated total energy: -33.77 eV per cell
! - SG: I-4 (82)
! - Density: 4.02 g/cm³
&SYSTEM
  ibrav = 0, nat = 8, ntyp = 4
/
ATOMIC_SPECIES
Mg 24.30 Mg.upf
Cd 112.41 Cd.upf
Sn 118.71 Sn.upf
P 30.97 P.upf
ATOMIC_POSITIONS angstrom
Mg 0.000 0.000 0.000
Cd 2.968 0.000 2.917
Sn 0.000 0.000 5.835
Sn 0.000 2.968 2.917
P 4.427 1.461 -1.439
P 1.461 1.508 1.439
P -1.459 1.506 4.396
P 1.506 1.459 7.274
CELL_PARAMETERS angstrom
-2.968 2.968 5.835
2.968 -2.968 5.835
2.968 2.968 -5.835



! PBE AlFe2W, relaxed; values from VASP
! - Calculated total energy: -33.17 eV per cell
! - SG: F-43m (216)
! - Density: 10.30 g/cm³
&SYSTEM
  ibrav = 0, nat = 4, ntyp = 3
/
ATOMIC_SPECIES
Al 26.98 Al.upf
Fe 55.84 Fe.upf
W 183.84 W.upf
ATOMIC_POSITIONS angstrom
Al 0.000 0.000 0.000
Fe 2.963 2.963 2.963
Fe 4.444 4.444 4.444
W 1.481 1.481 1.481
CELL_PARAMETERS angstrom
0.000 2.963 2.963
2.963 0.000 2.963
2.963 2.963 0.000



! PBE GaFeCoRe, relaxed; values from VASP
! - Calculated total energy: -30.65 eV per cell
! - SG: F-43m (216)
! - Distance to the lowest polymorph of the same formula: 0 meV/atom
! - Density: 12.29 g/cm³
&SYSTEM
  ibrav = 0, nat = 4, ntyp = 4
/
ATOMIC_SPECIES
Ga 69.72 Ga.upf
Fe 55.84 Fe.upf
Co 58.93 Co.upf
Re 186.21 Re.upf
ATOMIC_POSITIONS angstrom
Ga 0.000 0.000 0.000
Fe 4.388 4.388 4.388
Co 1.463 1.463 1.463
Re 2.926 2.926 2.926
CELL_PARAMETERS angstrom
0.000 2.926 2.926
2.926 0.000 2.926
2.926 2.926 0.000



! PBE Y2Cu2C3, relaxed; values from VASP
! - Calculated total energy: -45.93 eV per cell
! - SG: C2/m (12)
! - Density: 5.99 g/cm³
&SYSTEM
  ibrav = 0, nat = 7, ntyp = 3
/
ATOMIC_SPECIES
Y 88.91 Y.upf
Cu 63.55 Cu.upf
C 12.01 C.upf
ATOMIC_POSITIONS angstrom
Y 0.922 0.000 1.562
Y 9.110 0.000 3.219
Cu 3.819 0.000 0.831
Cu 6.213 0.000 3.950
C 1.783 0.000 3.833
C 5.016 0.000 2.390
C 8.250 0.000 0.948
CELL_PARAMETERS angstrom
5.597 -1.767 0.000
5.597 1.767 0.000
-1.161 0.000 4.781



! PBE BiIr, relaxed; values from VASP
! - Calculated total energy: -11.64 eV per cell
! - SG: F-43m (216)
! - Density: 11.62 g/cm³
&SYSTEM
  ibrav = 0, nat = 2, ntyp = 2
/
ATOMIC_SPECIES
Bi 208.98 Bi.upf
Ir 192.22 Ir.upf
ATOMIC_POSITIONS angstrom
Bi 0.000 0.000 0.000
Ir 4.590 4.590 4.590
CELL_PARAMETERS angstrom
0.000 3.060 3.060
3.060 0.000 3.060
3.060 3.060 0.000



! PBE Hf2CuRe, relaxed; values from VASP
! - Calculated total energy: -146.50 eV per cell
! - SG: Pnma (62)
! - DFT formation energy: -14 kJ/mol of atoms
! - Density: 14.39 g/cm³
&SYSTEM
  ibrav = 0, nat = 16, ntyp = 3
/
ATOMIC_SPECIES
Hf 178.49 Hf.upf
Cu 63.55 Cu.upf
Re 186.21 Re.upf
ATOMIC_POSITIONS angstrom
Hf 1.271 0.455 0.648
Hf 1.271 3.579 0.648
Hf 1.277 4.490 4.054
Hf 1.277 7.613 4.054
Hf 3.819 0.455 2.758
Hf 3.819 3.579 2.758
Hf 3.825 4.490 6.164
Hf 3.825 7.613 6.164
Cu 0.006 2.017 5.123
Cu 2.542 6.051 1.717
Cu 2.554 2.017 5.096
Cu 5.090 6.051 1.690
Re 1.251 2.017 2.776
Re 1.297 6.051 6.182
Re 3.799 2.017 0.630
Re 3.845 6.051 4.036
CELL_PARAMETERS angstrom
5.096 0.000 0.000
0.000 8.069 0.000
0.000 0.000 6.812



! PBE KCoSn, relaxed; values from VASP
! - Calculated total energy: -7.87 eV per cell
! - SG: F-43m (216)
! - Distance to the lowest polymorph of the same formula: 747 meV/atom
! - Density: 3.66 g/cm³
&SYSTEM
  ibrav = 0, nat = 3, ntyp = 3
/
ATOMIC_SPECIES
K 39.10 K.upf
Co 58.93 Co.upf
Sn 118.71 Sn.upf
ATOMIC_POSITIONS angstrom
K 0.000 0.000 0.000
Co 5.493 5.493 5.493
Sn 1.831 1.831 1.831
CELL_PARAMETERS angstrom
0.000 3.662 3.662
3.662 0.000 3.662
3.662 3.662 0.000



! PBE NaInSiPd, relaxed; values from VASP
! - Calculated total energy: -14.86 eV per cell
! - SG: F-43m (216)
! - Distance to the lowest polymorph of the same formula: 0 meV/atom
! - Density: 6.30 g/cm³
&SYSTEM
  ibrav = 0, nat = 4, ntyp = 4
/
ATOMIC_SPECIES
Na 22.99 Na.upf
In 114.82 In.upf
Si 28.09 Si.upf
Pd 106.42 Pd.upf
ATOMIC_POSITIONS angstrom
Na 0.000 0.000 0.000
In 1.650 1.650 1.650
Si 4.949 4.949 4.949
Pd 3.299 3.299 3.299
CELL_PARAMETERS angstrom
0.000 3.299 3.299
3.299 0.000 3.299
3.299 3.299 0.000



Q: Which value of calculated total energy does entry 10 give?
A: -146.50 eV per cell



Q: What is the formula in the first record?
A: TaNbCoSi